Entry 1:
{"formula": "TbTmGaFe", "functional": "GGA-PBE", "state": "optimized geometry", "cell": [[-2.680, -3.747, 1.701], [-0.456, -4.101, -2.662], [2.209, -4.135, 1.462]], "species": ["Tb", "Tm", "Ga", "Fe"], "fractional_positions": [[0.000, 0.000, 0.000], [0.500, 0.500, 0.500], [0.250, 0.250, 0.250], [0.750, 0.750, 0.750]], "e_form_ev_per_atom": -0.192, "total_magnetization_mub_per_fu": 1.36}


Entry 2:
{"formula": "GaFe2Tc", "functional": "GGA-PBE", "state": "optimized geometry", "cell": [[-3.668, -0.899, 0.987], [1.066, -3.412, 0.855], [0.666, 1.073, 3.452]], "species": ["Tc", "Fe", "Fe", "Ga"], "fractional_positions": [[0.500, 0.500, 0.500], [0.000, 0.000, 0.500], [0.000, 0.500, 0.000], [0.500, 0.000, 0.000]], "e_form_ev_per_atom": -0.001, "total_magnetization_mub_per_fu": 5.36}


Entry 3:
{"formula": "GaFe2Tc", "functional": "GGA-PBE", "state": "optimized geometry", "cell": [[-0.507, 2.261, -1.455], [-1.681, -1.422, -1.625], [-5.025, 1.420, 3.957]], "species": ["Tc", "Fe", "Fe", "Ga"], "fractional_positions": [[0.500, 0.500, 0.500], [0.000, 0.000, 0.755], [0.000, 0.000, 0.245], [0.500, 0.500, 0.000]], "e_form_ev_per_atom": -0.007, "total_magnetization_mub_per_fu": 0.77}


Entry 4:
{"formula": "GaFe2Tc", "functional": "GGA-PBE", "state": "optimized geometry", "cell": [[3.974, 0.000, 0.000], [1.987, 3.442, 0.000], [1.987, 1.147, 4.092]], "species": ["Tc", "Ga", "Fe", "Fe"], "fractional_positions": [[0.476, 0.476, 0.572], [0.687, 0.687, 0.938], [0.262, 0.262, 0.213], [0.074, 0.074, 0.777]], "e_form_ev_per_atom": 0.210, "total_magnetization_mub_per_fu": 2.10}


Entry 5:
{"formula": "Ga6FeTc", "functional": "GGA-PBE", "state": "optimized geometry", "cell": [[0.147, -4.474, -2.776], [5.100, -3.711, 1.553], [0.294, -3.737, 3.689]], "species": ["Fe", "Ga", "Ga", "Ga", "Ga", "Ga", "Ga", "Tc"], "fractional_positions": [[0.500, 0.500, 0.000], [0.214, 0.344, 0.442], [0.658, 0.786, 0.000], [0.786, 0.656, 0.558], [0.342, 0.214, 0.000], [0.214, 0.786, 0.558], [0.786, 0.214, 0.442], [0.000, 0.000, 0.000]], "e_form_ev_per_atom": -0.031, "total_magnetization_mub_per_fu": 0.00}


Entry 6:
{"formula": "GaFe4Tc", "functional": "GGA-PBE", "state": "optimized geometry", "cell": [[-1.850, -0.900, -4.255], [-3.308, -3.341, -0.480], [-4.469, 1.217, -0.939]], "species": ["Fe", "Fe", "Fe", "Fe", "Tc", "Ga"], "fractional_positions": [[0.624, 0.624, 0.127], [0.624, 0.624, 0.624], [0.624, 0.127, 0.624], [0.127, 0.624, 0.624], [0.250, 0.250, 0.250], [0.000, 0.000, 0.000]], "e_form_ev_per_atom": 0.084, "total_magnetization_mub_per_fu": 8.18}


Entry 7:
{"formula": "Ga2Fe2Tc", "functional": "GGA-PBE", "state": "optimized geometry", "cell": [[7.219, 0.000, 0.000], [0.000, 7.219, 0.000], [0.000, 0.000, 2.577]], "species": ["Ga", "Ga", "Ga", "Ga", "Tc", "Tc", "Fe", "Fe", "Fe", "Fe"], "fractional_positions": [[0.681, 0.819, 0.500], [0.319, 0.181, 0.500], [0.819, 0.319, 0.500], [0.181, 0.681, 0.500], [0.000, 0.000, 0.000], [0.500, 0.500, 0.000], [0.616, 0.116, 0.000], [0.884, 0.616, 0.000], [0.384, 0.884, 0.000], [0.116, 0.384, 0.000]], "e_form_ev_per_atom": 0.118, "total_magnetization_mub_per_fu": 4.11}


Entry 8:
{"formula": "GaFeTc3", "functional": "GGA-PBE", "state": "optimized geometry", "cell": [[4.387, 0.000, 0.000], [0.000, 4.387, 0.000], [0.000, 0.000, 4.387]], "species": ["Tc", "Tc", "Tc", "Fe", "Ga"], "fractional_positions": [[0.000, 0.500, 0.000], [0.000, 0.000, 0.500], [0.500, 0.000, 0.000], [0.500, 0.500, 0.500], [0.000, 0.000, 0.000]], "e_form_ev_per_atom": 1.911, "total_magnetization_mub_per_fu": 0.00}


Entry 9:
{"formula": "TiGaFeTc", "functional": "GGA-PBE", "state": "optimized geometry", "cell": [[-0.475, 0.028, 3.220], [0.811, -4.021, 0.154], [4.025, 0.834, 0.586]], "species": ["Ga", "Tc", "Ti", "Fe"], "fractional_positions": [[0.000, 0.500, 0.500], [0.500, 0.500, 0.000], [0.000, 0.000, 0.000], [0.500, 0.000, 0.500]], "e_above_lowest_polymorph_kj_per_mol_atoms": 0.0, "e_form_ev_per_atom": -0.341, "total_magnetization_mub_per_fu": 1.92}


Entry 10:
{"formula": "TiGaFeTc", "functional": "GGA-PBE", "state": "optimized geometry", "cell": [[-2.341, 2.090, -2.907], [-1.963, -2.165, -3.124], [-4.261, -0.379, 0.011]], "species": ["Ti", "Fe", "Ga", "Tc"], "fractional_positions": [[0.250, 0.250, 0.250], [0.500, 0.500, 0.500], [0.750, 0.750, 0.750], [0.000, 0.000, 0.000]], "e_above_lowest_polymorph_kj_per_mol_atoms": 5.4, "e_form_ev_per_atom": -0.285, "total_magnetization_mub_per_fu": 1.77}


Entry 11:
{"formula": "UGaFeTc", "functional": "GGA-PBE", "state": "optimized geometry", "cell": [[-2.067, 0.577, -3.937], [-3.371, -2.710, -1.181], [-4.199, 1.567, -0.119]], "species": ["Tc", "Fe", "Ga", "U"], "fractional_positions": [[0.500, 0.500, 0.500], [0.000, 0.000, 0.000], [0.250, 0.250, 0.250], [0.750, 0.750, 0.750]], "e_form_ev_per_atom": -0.087, "total_magnetization_mub_per_fu": 0.58}


Entry 12:
{"formula": "ZrGaFeTc2", "functional": "GGA-PBE", "state": "optimized geometry", "cell": [[4.698, 0.000, 0.000], [0.000, 4.698, 0.000], [0.000, 0.000, 4.941]], "species": ["Ga", "Tc", "Tc", "Fe", "Zr"], "fractional_positions": [[0.000, 0.000, 0.500], [0.500, 0.000, 0.000], [0.000, 0.500, 0.000], [0.500, 0.500, 0.500], [0.000, 0.000, 0.000]], "e_form_ev_per_atom": 2.115, "total_magnetization_mub_per_fu": 1.57}